Computed, not measured: a geometry-optimized Cu2Pd3 structure at the PBE-GGA level of DFT.

a = 2.762 Å, b = 2.762 Å, c = 18.425 Å
α = 90.00°, β = 90.00°, γ = 90.00°
Space group P4/mmm (No. 123)
One atom of each set of equivalent atoms:
Cu 0.000 0.000 0.098 x2
Cu 0.000 0.000 0.293 x2
Pd 0.000 0.000 0.500 x1
Pd 0.500 0.500 0.000 x1
Pd 0.500 0.500 0.196 x2
Pd 0.500 0.500 0.390 x2

Output
As for the energy relative to the elements: -0.42 eV per formula unit. The volume comes out at 14.06 Å³/atom. As for the relative energy among the computed polymorphs: 0.00 eV/f.u. The calculation puts the density of states at the Fermi level at 1.4891 states/eV per atom.